Record 1
Computed, not measured: crystalline CeI2 at its relaxed geometry at the PBE level of DFT.

Results
The formation energy from raw total energies is -1.25 eV/atom. As for the symmetry: No. 20.

The structure in CIF format:
```
data_CeI2
_symmetry_space_group_name_H-M 'P 1'
_symmetry_Int_Tables_number 1
_symmetry_space_group_name_Hall 'P 1'
_cell_length_a 4.258
_cell_length_b 4.258
_cell_length_c 32.954
_cell_angle_alpha 90.00
_cell_angle_beta 90.00
_cell_angle_gamma 119.97
loop_
_atom_site_label
_atom_site_type_symbol
_atom_site_fract_x
_atom_site_fract_y
_atom_site_fract_z
Ce1 Ce 0.241 0.243 0.124
Ce2 Ce 0.243 0.241 0.876
Ce3 Ce 0.757 0.759 0.376
Ce4 Ce 0.759 0.757 0.624
I1 I 0.090 0.425 0.313
I2 I 0.090 0.426 0.440
I3 I 0.425 0.090 0.687
I4 I 0.426 0.090 0.560
I5 I 0.574 0.910 0.060
I6 I 0.575 0.910 0.187
I7 I 0.910 0.574 0.940
I8 I 0.910 0.575 0.813
```

Record 2
Computed, not measured: crystalline BaLiS2N at its relaxed geometry at the PBE level of DFT.

Results
The formation energy from raw total energies is 0.55 eV/atom. The value obtained for the energy relative to the lowest polymorph listed for this composition is 0.663 eV per atom. As for the symmetry: No. 123.

The structure in CIF format:
```
data_BaLiS2N
_symmetry_space_group_name_H-M 'P 1'
_symmetry_Int_Tables_number 1
_symmetry_space_group_name_Hall 'P 1'
_cell_length_a 5.948
_cell_length_b 5.948
_cell_length_c 5.306
_cell_angle_alpha 90.00
_cell_angle_beta 90.00
_cell_angle_gamma 90.00
loop_
_atom_site_label
_atom_site_type_symbol
_atom_site_fract_x
_atom_site_fract_y
_atom_site_fract_z
Ba1 Ba 0.000 0.000 0.000
Li1 Li 0.500 0.500 0.500
S1 S 0.000 0.500 0.000
S2 S 0.500 0.000 0.000
N1 N 0.000 0.000 0.500
```

Record 3
Computed, not measured: crystalline TiBeGe at its relaxed geometry at the PBE level of DFT.

Results
The electronic total energy is -5.30 eV/atom. As for the symmetry: No. 107.

The structure in CIF format:
```
data_TiBeGe
_symmetry_space_group_name_H-M 'P 1'
_symmetry_Int_Tables_number 1
_symmetry_space_group_name_Hall 'P 1'
_cell_length_a 4.397
_cell_length_b 4.397
_cell_length_c 4.397
_cell_angle_alpha 133.12
_cell_angle_beta 133.12
_cell_angle_gamma 68.46
loop_
_atom_site_label
_atom_site_type_symbol
_atom_site_fract_x
_atom_site_fract_y
_atom_site_fract_z
Ti1 Ti 0.000 0.000 0.000
Be1 Be 0.351 0.351 0.000
Ge1 Ge 0.654 0.654 0.000
```

Record 4
Computed, not measured: crystalline LaYEr3 at its relaxed geometry at the PBE level of DFT.

Results
The value obtained for the energy relative to the lowest polymorph listed for this composition is 0.000 eV per atom. As for the symmetry: No. 2.

The structure in CIF format:
```
data_LaYEr3
_symmetry_space_group_name_H-M 'P 1'
_symmetry_Int_Tables_number 1
_symmetry_space_group_name_Hall 'P 1'
_cell_length_a 6.303
_cell_length_b 6.742
_cell_length_c 8.486
_cell_angle_alpha 102.58
_cell_angle_beta 111.72
_cell_angle_gamma 90.06
loop_
_atom_site_label
_atom_site_type_symbol
_atom_site_fract_x
_atom_site_fract_y
_atom_site_fract_z
La1 La 0.182 0.446 0.200
La2 La 0.818 0.554 0.800
Y1 Y 0.216 0.343 0.600
Y2 Y 0.784 0.657 0.400
Er1 Er 0.017 0.951 0.201
Er2 Er 0.384 0.853 0.601
Er3 Er 0.416 0.755 0.002
Er4 Er 0.584 0.245 0.998
Er5 Er 0.616 0.147 0.399
Er6 Er 0.983 0.049 0.799
```

Record 5
Computed, not measured: crystalline MgPBr2 at its relaxed geometry at the PBE level of DFT.

Results
The formation energy from raw total energies is 0.31 eV/atom. The value obtained for the energy relative to the lowest polymorph listed for this composition is 0.845 eV per atom. As for the symmetry: No. 166.

The structure in CIF format:
```
data_MgPBr2
_symmetry_space_group_name_H-M 'P 1'
_symmetry_Int_Tables_number 1
_symmetry_space_group_name_Hall 'P 1'
_cell_length_a 9.620
_cell_length_b 9.620
_cell_length_c 9.620
_cell_angle_alpha 21.01
_cell_angle_beta 21.01
_cell_angle_gamma 21.01
loop_
_atom_site_label
_atom_site_type_symbol
_atom_site_fract_x
_atom_site_fract_y
_atom_site_fract_z
Mg1 Mg 0.000 0.000 0.000
P1 P 0.500 0.500 0.500
Br1 Br 0.092 0.092 0.092
Br2 Br 0.908 0.908 0.908
```

Record 6
Computed, not measured: crystalline Na2Cd2In5 at its relaxed geometry at the PBE level of DFT.

Results
The value obtained for the energy relative to the lowest polymorph listed for this composition is 0.000 eV per atom. As for the symmetry: No. 2.

The structure in CIF format:
```
data_Na2Cd2In5
_symmetry_space_group_name_H-M 'P 1'
_symmetry_Int_Tables_number 1
_symmetry_space_group_name_Hall 'P 1'
_cell_length_a 6.342
_cell_length_b 6.346
_cell_length_c 6.929
_cell_angle_alpha 86.69
_cell_angle_beta 87.04
_cell_angle_gamma 63.08
loop_
_atom_site_label
_atom_site_type_symbol
_atom_site_fract_x
_atom_site_fract_y
_atom_site_fract_z
Na1 Na 0.165 0.167 0.123
Na2 Na 0.835 0.833 0.877
Cd1 Cd 0.332 0.330 0.689
Cd2 Cd 0.668 0.670 0.311
In1 In 0.141 0.665 0.342
In2 In 0.331 0.860 0.654
In3 In 0.500 0.500 0.000
In4 In 0.669 0.140 0.346
In5 In 0.859 0.335 0.658
```